(1)
Ac6Ni3Ag2 | Alexandria | PBE | optimized geometry; total energy = -4.52 eV/atom; total magnetic moment = 0.00 μB/f.u.; formation enthalpy at 0 K = -181 meV/atom
1.0
3.7485 -6.4927 0.0000
3.7485 6.4927 0.0000
-2.4972 0.0000 7.5809
Ac Ni Ag
6 3 2
direct
0.0706 0.4048 0.2146
0.2609 0.2609 0.7866
0.4048 0.0706 0.2146
0.5952 0.9294 0.7854
0.7391 0.7391 0.2134
0.9294 0.5952 0.7854
0.0000 0.0000 0.0000
0.3322 0.6678 0.0000
0.6678 0.3322 0.0000
0.1663 0.8337 0.5000
0.8337 0.1663 0.5000

***

(2)
AcNiAg | Alexandria | PBE | optimized geometry; total energy = -4.24 eV/atom; total magnetic moment = 0.00 μB/f.u.; formation enthalpy at 0 K = 5 meV/atom
1.0
-1.8250 1.8250 5.2124
1.8250 -1.8250 5.2124
1.8250 1.8250 -5.2124
Ac Ni Ag
1 1 1
direct
0.0000 0.0000 0.0000
0.6691 0.6691 0.0000
0.2921 0.2921 0.0000

***

(3)
AcNi4Ag | Alexandria | PBE | optimized geometry; total energy = -5.10 eV/atom; total magnetic moment = 1.11 μB/f.u.; formation enthalpy at 0 K = -87 meV/atom
1.0
0.0000 3.6281 3.6281
3.6281 0.0000 3.6281
3.6281 3.6281 0.0000
Ac Ni Ag
1 4 1
direct
0.0000 0.0000 0.0000
0.3762 0.3762 0.3762
0.3762 0.3762 0.8714
0.3762 0.8714 0.3762
0.8714 0.3762 0.3762
0.7500 0.7500 0.7500

***

(4)
Ac4NiAg3 | Alexandria | PBE | optimized geometry; total energy = -4.09 eV/atom; total magnetic moment = 0.00 μB/f.u.; formation enthalpy at 0 K = -243 meV/atom
1.0
4.2481 0.0000 0.0000
0.0000 4.9412 0.0000
0.0000 0.0000 11.6779
Ac Ni Ag
4 1 3
direct
0.0000 0.0000 0.0000
0.0000 0.5000 0.2610
0.5000 0.0000 0.4662
0.5000 0.5000 0.7655
0.5000 0.0000 0.1988
0.0000 0.0000 0.6952
0.0000 0.5000 0.5468
0.5000 0.5000 0.0533

***

(5)
Ac6Ni4Ag | Alexandria | PBE | optimized geometry; total energy = -4.81 eV/atom; total magnetic moment = 0.00 μB/f.u.; formation enthalpy at 0 K = -210 meV/atom
1.0
2.1434 -7.1241 0.0000
2.1434 7.1241 0.0000
0.0000 0.0000 22.0011
Ac Ni Ag
12 8 2
direct
0.0000 0.0000 0.0000
0.0000 0.0000 0.5000
0.1711 0.8289 0.7500
0.2692 0.7308 0.0824
0.2692 0.7308 0.4176
0.4628 0.5372 0.6559
0.4628 0.5372 0.8441
0.5372 0.4628 0.1559
0.5372 0.4628 0.3441
0.7308 0.2692 0.5824
0.7308 0.2692 0.9176
0.8289 0.1711 0.2500
0.0969 0.9031 0.6253
0.0969 0.9031 0.8747
0.3635 0.6365 0.5411
0.3635 0.6365 0.9589
0.6365 0.3635 0.0411
0.6365 0.3635 0.4589
0.9031 0.0969 0.1253
0.9031 0.0969 0.3747
0.1529 0.8471 0.2500
0.8471 0.1529 0.7500